1.
Crystalline SrAuN at its relaxed geometry, computed with PBE.

a b c (Å): 3.9679 7.8756 7.9346
angles (deg): 90.00 90.00 90.00
Closest atoms and distances in Å follow each position.
Space group Amm2 (No. 38)
Inequivalent atoms, fractional coordinates:
Sr (0.0000, 0.2096, 0.0000)  4 N 2.65-2.91
Au (0.5000, 0.0000, 0.3287)  2 N 2.03
Au (0.5000, 0.0000, 0.6743)  1 N 1.99
N (0.0000, 0.0000, 0.2733)  2 Au 2.03
N (0.5000, 0.0000, 0.9246)  1 Au 1.99

Summary:
- uncorrected formation energy (eV per formula unit) = -0.847


2.
Crystalline Sr8AuN2 at its relaxed geometry, computed with PBE.

a b c (Å): 15.0985 8.8793 7.2025
angles (deg): 90.00 94.15 90.00
Closest atoms and distances in Å follow each position.
Space group C2/m (No. 12)
Inequivalent atoms, fractional coordinates:
Sr (0.1019, 0.2173, 0.2454)  1 N 2.39
Sr (0.1654, 0.0000, 0.8039)  1 N 2.39
Sr (0.1748, 0.5000, 0.7425)  1 N 2.35
Au (0.0000, 0.0000, 0.5000)  6 Sr 3.14-3.20
N (0.1762, 0.0000, 0.1360)  4 Sr 2.35-2.39

Summary:
- uncorrected formation energy (eV per formula unit) = -4.116


3.
Crystalline Sr12Au6N at its relaxed geometry, computed with PBE.

a b c (Å): 13.6184 13.6184 12.8273
angles (deg): 90.00 90.00 120.00
Closest atoms and distances in Å follow each position.
Space group R-3 (No. 148, hexagonal axes)
Inequivalent atoms, fractional coordinates:
Sr (0.0310, 0.2174, 0.3948)  4 Au 3.06-3.32
Sr (0.0430, 0.1834, 0.8869)  1 N 2.69
Au (0.0527, 0.2730, 0.6487)  6 Sr 3.06-3.32
N (0.0000, 0.0000, 0.0000)  6 Sr 2.69

Summary:
- uncorrected formation energy (eV per formula unit) = -11.054


4.
Crystalline SrAuN at its relaxed geometry, computed with PBE.

a b c (Å): 4.0106 8.5342 4.3275
angles (deg): 90.00 96.00 90.00
Closest atoms and distances in Å follow each position.
Space group Pm (No. 6)
Inequivalent atoms, fractional coordinates:
Sr (0.0000, 0.0000, 0.0000)  2 N 2.51
Sr (0.0049, 0.5000, 0.5029)  8 Au 3.16-3.43
Au (0.5052, 0.3273, 0.0025)  1 Au 2.95, 2 Sr 3.16, 1 N 3.30
N (0.4019, 0.0000, 0.5927)  1 N 1.18
N (0.5974, 0.0000, 0.4068)  1 N 1.18

Summary:
- uncorrected formation energy (eV per formula unit) = -1.359


5.
Crystalline Sr6AuN at its relaxed geometry, computed with PBE.

a b c (Å): 7.3404 12.6963 7.3596
angles (deg): 90.00 90.11 90.00
Closest atoms and distances in Å follow each position.
Space group C2/m (No. 12)
Inequivalent atoms, fractional coordinates:
Sr (0.1498, 0.1496, 0.2116)  1 N 2.69
Sr (0.2013, 0.5000, 0.2109)  1 N 2.69
Au (0.0000, 0.0000, 0.5000)  6 Sr 3.05-3.06
N (0.0000, 0.0000, 0.0000)  6 Sr 2.69

Summary:
- energy above the lowest structure with this stoichiometry (eV per formula unit) = 0.46
- uncorrected formation energy (eV per formula unit) = -2.513


6.
Crystalline SrAuN at its relaxed geometry, computed with PBE.

a b c (Å): 6.9808 5.4235 7.2824
angles (deg): 90.00 115.86 90.00
Closest atoms and distances in Å follow each position.
Space group C2/m (No. 12)
Inequivalent atoms, fractional coordinates:
Sr (0.0258, 0.0000, 0.2854)  4 N 2.60-2.86
Au (0.0000, 0.5000, 0.0000)  2 N 2.09
Au (0.0000, 0.5000, 0.5000)  2 N 2.12
N (0.1689, 0.5000, 0.3183)  2 Au 2.09-2.12

Summary:
- uncorrected formation energy (eV per formula unit) = -0.857


7.
Crystalline SrAuN at its relaxed geometry, computed with PBE.

a b c (Å): 4.0601 5.4125 5.5449
angles (deg): 90.00 90.00 90.00
Closest atoms and distances in Å follow each position.
Space group Amm2 (No. 38)
Inequivalent atoms, fractional coordinates:
Sr (0.0000, 0.0000, 0.0000)  3 N 2.56-2.71
Au (0.5000, 0.0000, 0.4646)  2 N 2.07
N (0.0000, 0.0000, 0.5382)  2 Au 2.07

Summary:
- uncorrected formation energy (eV per formula unit) = -1.008


8.
Crystalline SrAuN at its relaxed geometry, computed with PBE.

a b c (Å): 6.1329 7.4153 5.4680
angles (deg): 90.00 90.00 90.00
Closest atoms and distances in Å follow each position.
Space group Imma (No. 74)
Inequivalent atoms, fractional coordinates:
Sr (0.0000, 0.0000, 0.0000)  4 N 2.77
Au (0.0000, 0.2500, 0.4832)  2 N 2.12
N (0.2500, 0.2500, 0.7500)  2 Au 2.12

Summary:
- uncorrected formation energy (eV per formula unit) = 0.066


9.
Crystalline SrAuN at its relaxed geometry, computed with PBE.

a b c (Å): 3.9857 4.7292 8.4328
angles (deg): 73.85 84.98 89.98
Closest atoms and distances in Å follow each position.
Space group P-1 (No. 2)
Inequivalent atoms, fractional coordinates:
Sr (0.0419, 0.3698, 0.2578)  3 N 2.54-2.74
Au (0.4799, 0.2012, 0.5985)  2 Au 2.85
N (0.3948, 0.5246, 0.9513)  1 N 1.20

Summary:
- uncorrected formation energy (eV per formula unit) = -1.565


10.
Crystalline SrAuN at its relaxed geometry, computed with PBE.

a b c (Å): 4.2332 4.7154 6.8349
angles (deg): 90.00 114.05 90.00
Closest atoms and distances in Å follow each position.
Space group Pc (No. 7)
Inequivalent atoms, fractional coordinates:
Sr (0.0000, 0.0201, 0.0000)  3 N 2.52-2.71
Au (0.4976, 0.4862, 0.3466)  2 N 2.11-2.12
N (0.5666, 0.2423, 0.6200)  2 Au 2.11-2.12

Summary:
- uncorrected formation energy (eV per formula unit) = -0.737


11.
Crystalline Sr2TiAuN at its relaxed geometry, computed with PBE.

a b c (Å): 6.0487 6.0487 4.7674
angles (deg): 90.00 90.00 90.00
Closest atoms and distances in Å follow each position.
Space group P4/mmm (No. 123)
Inequivalent atoms, fractional coordinates:
Sr (0.0000, 0.5000, 0.0000)  2 Ti 3.02
Ti (0.0000, 0.0000, 0.0000)  2 Au 2.38
Au (0.0000, 0.0000, 0.5000)  2 Ti 2.38
N (0.5000, 0.5000, 0.5000)  8 Sr 3.85, 4 Au 4.28

Summary:
- uncorrected formation energy (eV per formula unit) = 6.061


12.
Crystalline Sr6Tl2AuN at its relaxed geometry, computed with PBE.

a b c (Å): 7.7543 8.0708 13.5196
angles (deg): 90.00 124.18 90.00
Closest atoms and distances in Å follow each position.
Space group P2_1/c (No. 14)
Inequivalent atoms, fractional coordinates:
Sr (0.1441, 0.0149, 0.2282)  1 N 2.63
Sr (0.2142, 0.7239, 0.0394)  1 N 2.65
Sr (0.3217, 0.1797, 0.0423)  1 N 2.66
Tl (0.2713, 0.0636, 0.7486)  7 Sr 3.43-3.81
Au (0.5000, 0.0000, 0.5000)  6 Sr 3.12-3.13
N (0.0000, 0.0000, 0.0000)  6 Sr 2.63-2.66

Summary:
- uncorrected formation energy (eV per formula unit) = -4.753


13.
Crystalline SrTlAuN2 at its relaxed geometry, computed with PBE.

a b c (Å): 4.5169 4.5169 5.2710
angles (deg): 90.00 90.00 90.00
Closest atoms and distances in Å follow each position.
Space group P4/mmm (No. 123)
Inequivalent atoms, fractional coordinates:
Sr (0.0000, 0.0000, 0.0000)  4 Tl 3.19, 8 N 3.47
Tl (0.5000, 0.5000, 0.0000)  2 Au 2.64
Au (0.5000, 0.5000, 0.5000)  4 N 2.26
N (0.0000, 0.5000, 0.5000)  2 Au 2.26

Summary:
- uncorrected formation energy (eV per formula unit) = 6.396


14.
Crystalline SrY2AuN at its relaxed geometry, computed with PBE.

a b c (Å): 4.7200 4.7200 5.3195
angles (deg): 90.00 90.00 90.00
Closest atoms and distances in Å follow each position.
Space group P4/mmm (No. 123)
Inequivalent atoms, fractional coordinates:
Sr (0.0000, 0.0000, 0.0000)  2 N 2.66
Y (0.0000, 0.5000, 0.5000)  2 N 2.36
Au (0.5000, 0.5000, 0.0000)  4 Sr 3.34, 8 Y 3.56
N (0.0000, 0.0000, 0.5000)  4 Y 2.36

Summary:
- energy above the lowest structure with this stoichiometry (eV per formula unit) = 0.00
- uncorrected formation energy (eV per formula unit) = -3.991


15.
Crystalline Sr6Zn2AuN at its relaxed geometry, computed with PBE.

a b c (Å): 7.5229 8.1189 13.0131
angles (deg): 90.00 122.95 90.00
Closest atoms and distances in Å follow each position.
Space group P2_1/c (No. 14)
Inequivalent atoms, fractional coordinates:
Sr (0.1165, 0.0265, 0.2293)  1 N 2.62
Sr (0.2095, 0.7141, 0.0516)  1 N 2.68
Sr (0.3440, 0.1695, 0.0514)  1 N 2.68
Zn (0.2878, 0.0904, 0.7514)  6 Sr 3.31-3.58
Au (0.5000, 0.0000, 0.5000)  6 Sr 3.12-3.14
N (0.0000, 0.0000, 0.0000)  6 Sr 2.62-2.68

Summary:
- uncorrected formation energy (eV per formula unit) = -3.623


16.
Crystalline TaAu3N at its relaxed geometry, computed with PBE.

a b c (Å): 5.1160 5.1160 5.1160
angles (deg): 90.00 90.00 90.00
Closest atoms and distances in Å follow each position.
Space group Pm-3m (No. 221)
Inequivalent atoms, fractional coordinates:
Ta (0.0000, 0.0000, 0.0000)  6 Au 2.56
Au (0.0000, 0.0000, 0.5000)  2 Ta 2.56
N (0.5000, 0.5000, 0.5000)  12 Au 3.62

Summary:
- energy above the lowest structure with this stoichiometry (eV per formula unit) = 5.71
- uncorrected formation energy (eV per formula unit) = 11.423


17.
Crystalline Ta3Au2N at its relaxed geometry, computed with PBE.

a b c (Å): 7.1518 7.1518 7.1518
angles (deg): 90.00 90.00 90.00
Closest atoms and distances in Å follow each position.
Space group P4_132 (No. 213)
Inequivalent atoms, fractional coordinates:
Ta (0.0433, 0.1250, 0.7933)  2 N 2.23
Au (0.0626, 0.9374, 0.4374)  3 Au 2.68, 3 Ta 2.88
N (0.1250, 0.3750, 0.6250)  6 Ta 2.23

Summary:
- uncorrected formation energy (eV per formula unit) = -2.800


18.
Crystalline Ta2AuN at its relaxed geometry, computed with PBE.

a b c (Å): 5.1446 5.1446 11.1962
angles (deg): 90.00 90.00 90.00
Closest atoms and distances in Å follow each position.
Space group I-42d (No. 122)
Inequivalent atoms, fractional coordinates:
Ta (0.1396, 0.2500, 0.1250)  2 N 2.03
Au (0.0000, 0.0000, 0.5000)  4 Ta 2.66
N (0.0000, 0.0000, 0.0000)  4 Ta 2.03

Summary:
- uncorrected formation energy (eV per formula unit) = -0.214


19.
Crystalline TaAuN2 at its relaxed geometry, computed with PBE.

a b c (Å): 5.0524 5.0524 9.5269
angles (deg): 90.00 90.00 90.00
Closest atoms and distances in Å follow each position.
Space group I-42d (No. 122)
Inequivalent atoms, fractional coordinates:
Ta (0.0000, 0.0000, 0.0000)  4 N 1.96
Au (0.0000, 0.0000, 0.5000)  4 N 2.37
N (0.1803, 0.2500, 0.1250)  2 Ta 1.96

Summary:
- energy above the lowest structure with this stoichiometry (eV per formula unit) = 0.95
- uncorrected formation energy (eV per formula unit) = -0.787


20.
Crystalline TaAuN3 at its relaxed geometry, computed with PBE.

a b c (Å): 3.9221 3.9221 3.9221
angles (deg): 90.00 90.00 90.00
Closest atoms and distances in Å follow each position.
Space group Pm-3m (No. 221)
Inequivalent atoms, fractional coordinates:
Ta (0.0000, 0.0000, 0.0000)  12 N 2.77
Au (0.5000, 0.5000, 0.5000)  6 N 1.96
N (0.0000, 0.5000, 0.5000)  2 Au 1.96

Summary:
- uncorrected formation energy (eV per formula unit) = 10.260